Density functional theory data (GGA-PBE) for crystalline TiSiTcRu at its relaxed geometry.

The structure belongs to space group F-43m (No. 216); the cell edges are 6.0364, 6.0364 and 6.0364 Å and the angles 90.00°, 90.00° and 90.00°. The asymmetric unit holds Ti at (0.0000, 0.0000, 0.0000), Si at (0.0000, 0.0000, 0.5000), Tc at (0.2500, 0.2500, 0.7500) and Ru at (0.2500, 0.2500, 0.2500).

The magnetic moment is 0.00 μB per formula unit. As for the uncorrected formation energy: -0.71 eV/atom.

***

Density functional theory data (GGA-PBE) for crystalline Pm3Sn4Au2 at its relaxed geometry.

The structure belongs to space group C2/m (No. 12); the cell edges are 11.3646, 4.7925 and 9.1202 Å and the angles 90.00°, 109.90° and 90.00°. The asymmetric unit holds Pm at (0.0000, 0.0000, 0.0000), Pm at (0.1435, 0.5000, 0.6838), Sn at (0.0722, 0.0000, 0.3916), Sn at (0.2017, 0.5000, 0.0569) and Au at (0.1746, 0.5000, 0.3458).

The magnetic moment is 0.00 μB per formula unit. As for the formation enthalpy at 0 K: -0.698 eV per atom.

***

Density functional theory data (GGA-PBE) for crystalline MnCuS2 at its relaxed geometry.

The structure belongs to space group I4/mcm (No. 140); the cell edges are 6.8119, 6.8119 and 5.3288 Å and the angles 90.00°, 90.00° and 90.00°. The asymmetric unit holds Mn at (0.0000, 0.5000, 0.2500), Cu at (0.0000, 0.0000, 0.2500) and S at (0.1732, 0.3268, 0.0000).

The magnetic moment is 0.04 μB per formula unit. As for the uncorrected formation energy: -0.03 eV/atom.

***

What did the second record say?
Density functional theory data (GGA-PBE) for crystalline Pm3Sn4Au2 at its relaxed geometry.

The structure belongs to space group C2/m (No. 12); the cell edges are 11.3646, 4.7925 and 9.1202 Å and the angles 90.00°, 109.90° and 90.00°. The asymmetric unit holds Pm at (0.0000, 0.0000, 0.0000), Pm at (0.1435, 0.5000, 0.6838), Sn at (0.0722, 0.0000, 0.3916), Sn at (0.2017, 0.5000, 0.0569) and Au at (0.1746, 0.5000, 0.3458).

The magnetic moment is 0.00 μB per formula unit. As for the formation enthalpy at 0 K: -0.698 eV per atom.